(1)
This record from Alexandria via LeMat-Bulk describes a relaxed ZnFe2Pb crystal. The functional is PBEsol.

Results
Energy = -5.4486 eV per atom
Volume = 15.3 Å³/atom
Energy of formation from the pure elements = 428 meV/atom
Symmetry = P4/mmm, No. 123

Unit cell a=3.2021 b=3.2021 c=5.9793 alpha=90.00 beta=90.00 gamma=90.00
Last column: nearest neighbours and their distance in Å.
Element x y z (fractional)
Zn 0.0000 0.0000 0.0000  8 Fe 2.54
Fe 0.5000 0.5000 0.1929  1 Fe 2.31, 4 Zn 2.54
Fe 0.5000 0.5000 0.8071  1 Fe 2.31, 4 Zn 2.54
Pb 0.0000 0.0000 0.5000  8 Fe 2.92, 2 Zn 2.99, 4 Pb 3.20

***

(2)
This record from Alexandria via LeMat-Bulk describes a relaxed RbSiPCl2 crystal. The functional is PBEsol.

Results
Energy = -3.8316 eV per atom
Volume = 23.7 Å³/atom
Symmetry = P4/mmm, No. 123
Formation energy (no corrections) = -0.52 eV/atom

Unit cell a=5.1084 b=5.1084 c=4.5337 alpha=90.00 beta=90.00 gamma=90.00
Last column: nearest neighbours and their distance in Å.
Element x y z (fractional)
Rb 0.0000 0.0000 0.0000  8 Cl 3.42, 4 P 3.61
Si 0.5000 0.5000 0.5000  2 P 2.27
P 0.5000 0.5000 0.0000  2 Si 2.27
Cl 0.0000 0.5000 0.5000  2 Si 2.55
Cl 0.5000 0.0000 0.5000  2 Si 2.55

***

(3)
This record from Alexandria via LeMat-Bulk describes a relaxed LaCrPt2 crystal. The functional is PBEsol.

Results
Energy = -7.6994 eV per atom
Volume = 18.7 Å³/atom
Energy of formation from the pure elements = -321 meV/atom
Symmetry = I-4m2, No. 119

Unit cell a=5.2969 b=5.2969 c=5.2969 alpha=134.37 beta=134.37 gamma=66.51
Last column: nearest neighbours and their distance in Å.
Element x y z (fractional)
La 0.0000 0.0000 0.0000  8 Pt 2.90-3.02, 4 Cr 3.02
Cr 0.2500 0.7500 0.5000  8 Pt 2.90-3.02, 4 La 3.02
Pt 0.5000 0.5000 0.0000  4 La 2.90, 4 Cr 3.02, 4 Pt 3.02
Pt 0.7500 0.2500 0.5000  4 Cr 2.90, 4 Pt 3.02, 4 La 3.02

***

(4)
This record from Alexandria via LeMat-Bulk describes a relaxed LiFe3Br crystal. The functional is PBEsol.

Results
Energy = -4.8243 eV per atom
Volume = 14.4 Å³/atom
Symmetry = Pm-3m, No. 221
Formation energy (no corrections) = 1.32 eV/atom

Unit cell a=4.1622 b=4.1622 c=4.1622 alpha=90.00 beta=90.00 gamma=90.00
Last column: nearest neighbours and their distance in Å.
Element x y z (fractional)
Li 0.0000 0.0000 0.0000  6 Fe 2.08
Fe 0.0000 0.0000 0.5000  2 Li 2.08
Fe 0.0000 0.5000 0.0000  2 Li 2.08
Fe 0.5000 0.0000 0.0000  2 Li 2.08
Br 0.5000 0.5000 0.5000  12 Fe 2.94

***

(5)
This record from Alexandria via LeMat-Bulk describes a relaxed LaZrSc2 crystal. The functional is PBEsol.

Results
Energy = -6.8144 eV per atom
Volume = 25.4 Å³/atom
Offset from the most stable computed form = 0.043 eV/atom
Energy of formation from the pure elements = 97 meV/atom
Symmetry = P4mm, No. 99

Unit cell a=3.2439 b=3.2439 c=9.6413 alpha=90.00 beta=90.00 gamma=90.00
Last column: nearest neighbours and their distance in Å.
Element x y z (fractional)
La 0.0000 0.0000 0.0000  4 La 3.24, 4 Zr 3.45, 4 Sc 3.47
Zr 0.5000 0.5000 0.7329  4 Sc 3.12, 4 Zr 3.24, 4 La 3.45
Sc 0.0000 0.0000 0.5133  4 Zr 3.12, 8 Sc 3.24-3.28
Sc 0.5000 0.5000 0.2703  8 Sc 3.24-3.28, 4 La 3.47

***

(6)
This record from Alexandria via LeMat-Bulk describes a relaxed SrCaAg crystal. The functional is PBEsol.

Results
Energy = -2.4964 eV per atom
Volume = 37.3 Å³/atom
Offset from the most stable computed form = 0.103 eV/atom
Energy of formation from the pure elements = -68 meV/atom
Symmetry = P3m1, No. 156

Unit cell a=4.2990 b=4.2990 c=6.9868 alpha=90.00 beta=90.00 gamma=120.00
Last column: nearest neighbours and their distance in Å.
Element x y z (fractional)
Sr 0.0000 0.0000 0.0000  3 Ag 3.14
Ca 0.6667 0.3333 0.4903  3 Ag 2.98
Ag 0.3333 0.6667 0.7251  3 Ca 2.98, 3 Sr 3.14

***

(7)
This record from Alexandria via LeMat-Bulk describes a relaxed CaMgCd crystal. The functional is PBEsol.

Results
Energy = -1.9551 eV per atom
Volume = 25.4 Å³/atom
Energy of formation from the pure elements = -273 meV/atom
Symmetry = Amm2, No. 38

Unit cell a=9.6537 b=6.0196 c=6.0196 alpha=60.43 beta=90.00 gamma=90.00
Last column: nearest neighbours and their distance in Å.
Element x y z (fractional)
Ca 0.1847 0.0000 0.0000  7 Cd 3.46-3.55, 5 Mg 3.50-3.52, 4 Ca 3.57-3.68
Ca 0.3030 0.3323 0.3323  5 Cd 3.38-3.52, 7 Mg 3.43-3.58, 3 Ca 3.64-3.68
Ca 0.6970 0.3323 0.3323  5 Cd 3.38-3.52, 7 Mg 3.43-3.58, 3 Ca 3.64-3.68
Ca 0.8153 0.0000 0.0000  7 Cd 3.46-3.55, 5 Mg 3.50-3.52, 4 Ca 3.57-3.68
Mg 0.0000 0.5051 0.5051  6 Cd 2.95-3.03
Mg 0.5000 0.3329 0.8340  2 Cd 2.98, 4 Mg 3.00-3.04
Mg 0.5000 0.8340 0.3329  2 Cd 2.98, 4 Mg 3.00-3.04
Mg 0.5000 0.8348 0.8348  2 Cd 2.97, 4 Mg 3.00-3.02
Cd 0.0000 0.0105 0.5017  4 Cd 2.98-3.08, 2 Mg 2.99-3.03
Cd 0.0000 0.5017 0.0105  4 Cd 2.98-3.08, 2 Mg 2.99-3.03
Cd 0.2508 0.6675 0.6675  4 Mg 2.95-2.98, 2 Cd 3.01
Cd 0.7492 0.6675 0.6675  4 Mg 2.95-2.98, 2 Cd 3.01

***

(8)
This record from Alexandria via LeMat-Bulk describes a relaxed LiCoAu2 crystal. The functional is PBEsol.

Results
Energy = -4.3221 eV per atom
Volume = 14.4 Å³/atom
Energy of formation from the pure elements = 66 meV/atom
Symmetry = P4mm, No. 99

Unit cell a=3.2332 b=3.2332 c=5.5136 alpha=90.00 beta=90.00 gamma=90.00
Last column: nearest neighbours and their distance in Å.
Element x y z (fractional)
Li 0.0000 0.0000 0.0000  5 Au 2.58-2.60, 4 Co 2.70
Co 0.5000 0.5000 0.7402  5 Au 2.57-2.63, 4 Li 2.70
Au 0.0000 0.0000 0.5284  4 Co 2.57, 1 Li 2.60, 4 Au 2.86
Au 0.5000 0.5000 0.2180  4 Li 2.58, 2 Co 2.63-2.88, 4 Au 2.86

***

(9)
This record from Alexandria via LeMat-Bulk describes a relaxed TaRhAu2 crystal. The functional is PBEsol.

Results
Energy = -7.3160 eV per atom
Volume = 16.2 Å³/atom
Offset from the most stable computed form = 0.062 eV/atom
Energy of formation from the pure elements = -182 meV/atom
Symmetry = P4mm, No. 99

Unit cell a=2.8627 b=2.8627 c=7.8873 alpha=90.00 beta=90.00 gamma=90.00
Last column: nearest neighbours and their distance in Å.
Element x y z (fractional)
Ta 0.0000 0.0000 0.0000  4 Rh 2.68, 4 Ta 2.86, 4 Au 2.87
Rh 0.5000 0.5000 0.7774  4 Ta 2.68, 4 Au 2.84, 4 Rh 2.86
Au 0.0000 0.0000 0.5242  4 Rh 2.84, 8 Au 2.86-2.92
Au 0.5000 0.5000 0.2573  8 Au 2.86-2.92, 4 Ta 2.87

***

(10)
This record from Alexandria via LeMat-Bulk describes a relaxed ZrReP crystal. The functional is PBEsol.

Results
Energy = -8.8178 eV per atom
Volume = 19.0 Å³/atom
Energy of formation from the pure elements = 587 meV/atom
Symmetry = F-43m, No. 216

Unit cell a=4.3192 b=4.3192 c=4.3192 alpha=60.00 beta=60.00 gamma=60.00
Last column: nearest neighbours and their distance in Å.
Element x y z (fractional)
Zr 0.0000 0.0000 0.0000  4 Re 2.64, 4 P 2.64
Re 0.2500 0.2500 0.2500  4 Zr 2.64
P 0.7500 0.7500 0.7500  4 Zr 2.64

***

(11)
This record from Alexandria via LeMat-Bulk describes a relaxed SrLiBe2As crystal. The functional is PBEsol.

Results
Energy = -1.9739 eV per atom
Volume = 33.5 Å³/atom
Energy of formation from the pure elements = 1409 meV/atom
Symmetry = P4/mmm, No. 123

Unit cell a=5.4971 b=5.4971 c=5.5498 alpha=90.00 beta=90.00 gamma=90.00
Last column: nearest neighbours and their distance in Å.
Element x y z (fractional)
Sr 0.0000 0.0000 0.0000  4 Be 2.75, 2 As 2.77
Li 0.5000 0.5000 0.5000  4 As 3.89, 8 Be 3.91
Be 0.0000 0.5000 0.0000  2 Sr 2.75
Be 0.5000 0.0000 0.0000  2 Sr 2.75
As 0.0000 0.0000 0.5000  2 Sr 2.77

***

(12)
This record from Alexandria via LeMat-Bulk describes a relaxed Sn3HgMo crystal. The functional is PBEsol.

Results
Energy = -4.7921 eV per atom
Volume = 28.1 Å³/atom
Energy of formation from the pure elements = 230 meV/atom
Symmetry = Pm-3m, No. 221

Unit cell a=5.2012 b=5.2012 c=5.2012 alpha=90.00 beta=90.00 gamma=90.00
Last column: nearest neighbours and their distance in Å.
Element x y z (fractional)
Sn 0.0000 0.0000 0.5000  2 Mo 2.60
Sn 0.0000 0.5000 0.0000  2 Mo 2.60
Sn 0.5000 0.0000 0.0000  2 Mo 2.60
Hg 0.5000 0.5000 0.5000  12 Sn 3.68
Mo 0.0000 0.0000 0.0000  6 Sn 2.60

***

(13)
This record from Alexandria via LeMat-Bulk describes a relaxed HfHgAsSe2 crystal. The functional is PBEsol.

Results
Energy = -3.9537 eV per atom
Volume = 25.1 Å³/atom
Offset from the most stable computed form = 0.968 eV/atom
Symmetry = P4/mmm, No. 123
Formation energy (no corrections) = 0.82 eV/atom

Unit cell a=5.0165 b=5.0165 c=4.9893 alpha=90.00 beta=90.00 gamma=90.00
Last column: nearest neighbours and their distance in Å.
Element x y z (fractional)
Hf 0.0000 0.0000 0.0000  8 Se 3.54, 4 As 3.55
Hg 0.5000 0.5000 0.5000  2 As 2.49, 4 Se 2.51
As 0.5000 0.5000 0.0000  2 Hg 2.49
Se 0.0000 0.5000 0.5000  2 Hg 2.51
Se 0.5000 0.0000 0.5000  2 Hg 2.51